1.
The following is a PBE-GGA calculation of a relaxed structure of La2TbSm6Y, from Alexandria via LeMat-Bulk.

Calculated values
The theoretical density is 6894 kg/m³. For the energy relative to the elements, the calculation gives 113 meV/atom. The calculation puts the magnetization at 0.0000 μB/atom. Its symmetry is C2/c (15).

Cell: 8.8941 8.8941 10.0349 Å, 95.18 95.18 118.33°
Element x y z (fractional)
La 0.1933 0.2931 0.0403
La 0.2931 0.1933 0.5403
La 0.7069 0.8067 0.4597
La 0.8067 0.7069 0.9597
Tb 0.0135 0.9865 0.2500
Tb 0.9865 0.0135 0.7500
Sm 0.0223 0.5813 0.1875
Sm 0.1227 0.7422 0.5558
Sm 0.2578 0.8773 0.9442
Sm 0.2934 0.5003 0.3783
Sm 0.4187 0.9777 0.3125
Sm 0.5003 0.2934 0.8783
Sm 0.4997 0.7066 0.1217
Sm 0.5813 0.0223 0.6875
Sm 0.7066 0.4997 0.6217
Sm 0.7422 0.1227 0.0558
Sm 0.8773 0.2578 0.4442
Sm 0.9777 0.4187 0.8125
Y 0.4047 0.5953 0.7500
Y 0.5953 0.4047 0.2500

2.
The following is a PBE-GGA calculation of a relaxed structure of Tl2CrNiCl6, from Alexandria via LeMat-Bulk.

Calculated values
The theoretical density is 4967 kg/m³. The calculation puts the magnetization at 0.3721 μB/atom. The formation energy (no corrections) comes out at -8.8 eV/f.u. Its symmetry is R-3m (166).

Cell: 12.2824 12.2824 12.2824 Å, 33.02 33.02 33.02°
Element x y z (fractional)
Tl 0.1181 0.1181 0.1181
Tl 0.2951 0.2951 0.2951
Tl 0.7049 0.7049 0.7049
Tl 0.8819 0.8819 0.8819
Cr 0.4140 0.4140 0.4140
Cr 0.5860 0.5860 0.5860
Ni 0.0000 0.0000 0.0000
Ni 0.5000 0.5000 0.5000
Cl 0.1414 0.6145 0.6145
Cl 0.2086 0.2086 0.7062
Cl 0.2086 0.7062 0.2086
Cl 0.2938 0.7914 0.7914
Cl 0.3855 0.3855 0.8586
Cl 0.3855 0.8586 0.3855
Cl 0.6145 0.1414 0.6145
Cl 0.6145 0.6145 0.1414
Cl 0.7062 0.2086 0.2086
Cl 0.7914 0.2938 0.7914
Cl 0.7914 0.7914 0.2938
Cl 0.8586 0.3855 0.3855

3.
The following is a PBE-GGA calculation of a relaxed structure of KNa2Cl, from Alexandria via LeMat-Bulk.

Calculated values
The theoretical density is 1010 kg/m³. The calculation puts the magnetization at 0.0000 μB/atom. The formation energy (no corrections) comes out at -2.8 eV/f.u. Its symmetry is I-42d (122).

Cell: 8.0914 8.0914 8.0914 Å, 115.40 115.40 98.17°
Element x y z (fractional)
K 0.0000 0.0000 0.0000
K 0.7500 0.2500 0.5000
Na 0.2748 0.1250 0.6498
Na 0.3750 0.7252 0.8502
Na 0.4752 0.6250 0.3502
Na 0.8750 0.5248 0.1498
Cl 0.2500 0.7500 0.5000
Cl 0.5000 0.5000 0.0000

4.
The following is a PBE-GGA calculation of a relaxed structure of U3Co9SiP2, from Alexandria via LeMat-Bulk.

Calculated values
The theoretical density is 10017 kg/m³. The calculation puts the magnetization at 0.1275 μB/atom. The formation energy (no corrections) comes out at -3.6 eV/f.u. Its symmetry is P-3m1 (164).

Cell: 5.1070 5.1070 9.7940 Å, 90.00 90.00 120.00°
Element x y z (fractional)
U 0.0000 0.0000 0.0000
U 0.3333 0.6667 0.6252
U 0.6667 0.3333 0.3748
Co 0.0000 0.5000 0.0000
Co 0.1653 0.3306 0.3214
Co 0.1653 0.8347 0.3214
Co 0.3306 0.1653 0.6786
Co 0.5000 0.0000 0.0000
Co 0.5000 0.5000 0.0000
Co 0.6694 0.8347 0.3214
Co 0.8347 0.1653 0.6786
Co 0.8347 0.6694 0.6786
Si 0.0000 0.0000 0.5000
P 0.3333 0.6667 0.1625
P 0.6667 0.3333 0.8375

5.
The following is a PBE-GGA calculation of a relaxed structure of Sc2ZnP, from Alexandria via LeMat-Bulk.

Calculated values
The theoretical density is 3808 kg/m³. For the energy relative to the elements, the calculation gives -481 meV/atom. The calculation puts the magnetization at 0.0000 μB/atom. Its symmetry is I-42d (122).

Cell: 5.9696 5.9696 5.9696 Å, 106.66 106.66 115.26°
Element x y z (fractional)
Sc 0.1049 0.6250 0.9799
Sc 0.3750 0.3549 0.4799
Sc 0.6451 0.1250 0.0201
Sc 0.8750 0.8951 0.5201
Zn 0.2500 0.7500 0.5000
Zn 0.5000 0.5000 0.0000
P 0.0000 0.0000 0.0000
P 0.7500 0.2500 0.5000

6.
The following is a PBE-GGA calculation of a relaxed structure of CaCd2InCu, from Alexandria via LeMat-Bulk.

Calculated values
The theoretical density is 5772 kg/m³. For the energy relative to the elements, the calculation gives -61 meV/atom. The calculation puts the magnetization at 0.0000 μB/atom. Its symmetry is P4/mmm (123).

Cell: 5.0452 5.0452 5.0100 Å, 90.00 90.00 90.00°
Element x y z (fractional)
Ca 0.0000 0.0000 0.0000
Cd 0.0000 0.5000 0.5000
Cd 0.5000 0.0000 0.5000
In 0.5000 0.5000 0.0000
Cu 0.5000 0.5000 0.5000

7.
The following is a PBE-GGA calculation of a relaxed structure of SrAcTb2, from Alexandria via LeMat-Bulk.

Calculated values
The theoretical density is 6761 kg/m³. For the energy relative to the elements, the calculation gives 131 meV/atom. The calculation puts the magnetization at 0.0000 μB/atom. Its symmetry is R3m (160).

Cell: 12.5929 12.5929 12.5929 Å, 17.37 17.37 17.37°
Element x y z (fractional)
Sr 0.0000 0.0000 0.0000
Ac 0.1658 0.1658 0.1658
Tb 0.5795 0.5795 0.5795
Tb 0.7529 0.7529 0.7529